An optimized crystal structure of Hf12Sb6C. Source: Alexandria, functional PBE.

Results
The formation energy (no corrections) comes out at -0.249 eV/atom. Its crystal system is trigonal. As for the total energy: -8.32 eV/atom. As for the density of states at the Fermi level: 17.41 states/eV per cell.

Cell and atoms, written as POSCAR:
```
Hf12Sb6C
1.0
5.9730 3.4485 3.5415
-5.9730 3.4485 3.5415
0.0000 -6.8970 3.5415
Hf Sb C
12 6 1
Direct
0.0169 0.0640 0.2993
0.0640 0.2993 0.0169
0.2014 0.5144 0.4078
0.2993 0.0169 0.0640
0.4078 0.2014 0.5144
0.4856 0.5922 0.7986
0.5144 0.4078 0.2014
0.5922 0.7986 0.4856
0.7007 0.9831 0.9360
0.7986 0.4856 0.5922
0.9360 0.7007 0.9831
0.9831 0.9360 0.7007
0.1087 0.3114 0.6621
0.3114 0.6621 0.1087
0.3379 0.8913 0.6886
0.6621 0.1087 0.3114
0.6886 0.3379 0.8913
0.8913 0.6886 0.3379
0.0000 0.0000 0.0000
```



An optimized crystal structure of Hf6SbC2. Source: Alexandria, functional PBE.

Results
The formation energy (no corrections) comes out at -0.291 eV/atom. Its crystal system is monoclinic. As for the total energy: -9.43 eV/atom. As for the density of states at the Fermi level: 4.98 states/eV per cell.

Cell and atoms, written as POSCAR:
```
Hf6SbC2
1.0
5.2555 -2.2664 0.0000
5.2555 2.2664 0.0000
-2.9348 0.0000 8.1721
Hf Sb C
6 1 2
Direct
0.0058 0.0058 0.3305
0.3251 0.3251 0.4447
0.3397 0.3397 0.8060
0.6603 0.6603 0.1940
0.6749 0.6749 0.5553
0.9942 0.9942 0.6695
0.0000 0.0000 0.0000
0.1684 0.1684 0.5821
0.8316 0.8316 0.4179
```



An optimized crystal structure of Hf4Sb3C. Source: Alexandria, functional PBE.

Results
The formation energy (no corrections) comes out at -0.306 eV/atom. Its crystal system is orthorhombic. As for the total energy: -7.98 eV/atom. As for the density of states at the Fermi level: 8.64 states/eV per cell.

Cell and atoms, written as POSCAR:
```
Hf4Sb3C
1.0
10.7970 0.0000 0.0000
0.0000 6.0402 0.0000
0.0000 0.0000 5.4732
Hf Sb C
8 6 2
Direct
0.0000 0.1638 0.0000
0.0000 0.8012 0.4649
0.2064 0.1663 0.4451
0.2936 0.8337 0.9451
0.5000 0.1988 0.9649
0.5000 0.8362 0.5000
0.7064 0.8337 0.9451
0.7936 0.1663 0.4451
0.0000 0.6703 0.9608
0.2452 0.3211 0.9450
0.2548 0.6789 0.4450
0.5000 0.3297 0.4608
0.7452 0.6789 0.4450
0.7548 0.3211 0.9450
0.0000 0.1558 0.4100
0.5000 0.8442 0.9100
```



An optimized crystal structure of Hf6Sb3C. Source: Alexandria, functional PBE.

Results
The formation energy (no corrections) comes out at -0.352 eV/atom. Its crystal system is orthorhombic. As for the total energy: -8.48 eV/atom. As for the density of states at the Fermi level: 15.78 states/eV per cell.

Cell and atoms, written as POSCAR:
```
Hf6Sb3C
1.0
6.1898 -7.3222 0.0000
6.1898 7.3222 0.0000
0.0000 0.0000 4.5128
Hf Sb C
12 6 2
Direct
0.0710 0.9290 0.5000
0.0786 0.5800 0.5011
0.2536 0.4106 0.0011
0.2570 0.7430 0.0012
0.4106 0.2536 0.5011
0.4200 0.9214 0.5011
0.5800 0.0786 0.0011
0.5894 0.7464 0.0011
0.7430 0.2570 0.5012
0.7464 0.5894 0.5011
0.9214 0.4200 0.0011
0.9290 0.0710 0.0000
0.0738 0.2631 0.5008
0.2631 0.0738 0.0008
0.4118 0.5882 0.5012
0.5882 0.4118 0.0012
0.7369 0.9262 0.5008
0.9262 0.7369 0.0008
0.2186 0.7814 0.5012
0.7814 0.2186 0.0012
```



An optimized crystal structure of Hf4Sb2C. Source: Alexandria, functional PBE.

Results
The formation energy (no corrections) comes out at -0.399 eV/atom. Its crystal system is monoclinic. As for the total energy: -8.58 eV/atom. As for the density of states at the Fermi level: 8.72 states/eV per cell.

Cell and atoms, written as POSCAR:
```
Hf4Sb2C
1.0
15.1951 0.0000 0.0000
0.0000 3.3111 0.0000
-2.2609 0.0000 5.6385
Hf Sb C
8 4 2
Direct
0.0815 0.0000 0.4036
0.0867 0.5000 0.9290
0.4133 0.0000 0.0710
0.4185 0.5000 0.5964
0.5815 0.5000 0.4036
0.5867 0.0000 0.9290
0.9133 0.5000 0.0710
0.9185 0.0000 0.5964
0.2482 0.5000 0.7442
0.2518 0.0000 0.2558
0.7482 0.0000 0.7442
0.7518 0.5000 0.2558
0.0000 0.0000 0.0000
0.5000 0.5000 0.0000
```



An optimized crystal structure of HfSb3C. Source: Alexandria, functional PBE.

Results
The formation energy (no corrections) comes out at 1.589 eV/atom. Its crystal system is cubic. As for the total energy: -4.72 eV/atom. As for the density of states at the Fermi level: 6.15 states/eV per cell. The value obtained for the energy above the most stable polymorph in this dataset is 776 meV per atom.

Cell and atoms, written as POSCAR:
```
HfSb3C
1.0
5.4724 0.0000 0.0000
0.0000 5.4724 0.0000
0.0000 0.0000 5.4724
Hf Sb C
1 3 1
Direct
0.0000 0.0000 0.0000
0.0000 0.0000 0.5000
0.0000 0.5000 0.0000
0.5000 0.0000 0.0000
0.5000 0.5000 0.5000
```



An optimized crystal structure of Hf3SbC2. Source: Alexandria, functional PBE.

Results
The formation energy (no corrections) comes out at -0.095 eV/atom. Its crystal system is monoclinic. As for the total energy: -8.83 eV/atom. As for the density of states at the Fermi level: 4.55 states/eV per cell.

Cell and atoms, written as POSCAR:
```
Hf3SbC2
1.0
6.8198 0.0000 0.0000
0.0000 3.3962 0.0000
-1.8186 0.0000 8.8057
Hf Sb C
6 2 4
Direct
0.0930 0.2500 0.1481
0.1857 0.2500 0.5270
0.3396 0.2500 0.8705
0.6604 0.7500 0.1295
0.8143 0.7500 0.4730
0.9070 0.7500 0.8519
0.3941 0.7500 0.3366
0.6059 0.2500 0.6634
0.1107 0.7500 0.6676
0.4208 0.2500 0.1175
0.5792 0.7500 0.8825
0.8893 0.2500 0.3324
```



An optimized crystal structure of Hf3Sb2C. Source: Alexandria, functional PBE.

Results
The formation energy (no corrections) comes out at -0.476 eV/atom. Its crystal system is monoclinic. As for the total energy: -8.36 eV/atom. As for the density of states at the Fermi level: 5.82 states/eV per cell.

Cell and atoms, written as POSCAR:
```
Hf3Sb2C
1.0
6.8825 -2.7006 0.0000
6.8825 2.7006 0.0000
-1.6216 0.0000 6.4532
Hf Sb C
6 4 2
Direct
0.0007 0.9993 0.7500
0.3899 0.3899 0.4444
0.3899 0.3899 0.9444
0.6101 0.6101 0.0556
0.6101 0.6101 0.5556
0.9993 0.0007 0.2500
0.1875 0.1876 0.0938
0.1876 0.1875 0.5938
0.8124 0.8125 0.4062
0.8125 0.8124 0.9062
0.5005 0.4995 0.2500
0.4995 0.5005 0.7500
```



- Among the records above, which one has the highest formation energy (no corrections)?
  HfSb3C



- Among the records above, which one has the highest formation energy (no corrections)?
  HfSb3C



- Which of these has the highest formation energy (no corrections)?
  HfSb3C